An optimized crystal structure of Th2NbAl. Source: Alexandria, functional PBE.

a b c (Å): 11.3428 11.3428 11.3428
angles (deg): 16.54 16.54 16.54
Positions (direct):
Th: 0.0878 0.0878 0.0878
Th: 0.9122 0.9122 0.9122
Nb: 0.0000 0.0000 0.0000
Al: 0.5000 0.5000 0.5000

The calculation puts the energy of formation from the pure elements at 1.81 eV per formula unit. The polymorph energy (0 for the lowest one) is 0.432 eV per atom. The value obtained for the final energy is -0.49314 Ry/atom.